No. 1
DFT (PBE) results for Ta4CdTe after structural relaxation.

```
data_Ta4CdTe
_chemical_formula_sum 'Ta16 Cd4 Te4'
_symmetry_space_group_name_H-M 'F -4 3 m'
_symmetry_Int_Tables_number 216
_symmetry_space_group_name_Hall 'F -4 2 3'
_cell_length_a 7.931
_cell_length_b 7.931
_cell_length_c 7.931
_cell_angle_alpha 90.00
_cell_angle_beta 90.00
_cell_angle_gamma 90.00
loop_
_atom_site_label
_atom_site_fract_x
_atom_site_fract_y
_atom_site_fract_z
Ta1 0.123 0.123 0.377
Cd1 0.250 0.250 0.750
Te1 0.000 0.000 0.000
```

Output
Volume ... 498.8 Å³ per cell
DOS(E_F) ... 22.41 states/eV/cell
Calculated total energy ... -8.05 eV per atom
Raw formation energy ... 0.532 eV per atom


No. 2
DFT (PBE) results for Ta2CdTe after structural relaxation.

```
data_Ta2CdTe
_chemical_formula_sum 'Ta2 Cd1 Te1'
_symmetry_space_group_name_H-M 'P 1 2/m 1'
_symmetry_Int_Tables_number 10
_cell_length_a 5.026
_cell_length_b 3.374
_cell_length_c 5.124
_cell_angle_alpha 90.00
_cell_angle_beta 110.42
_cell_angle_gamma 90.00
loop_
_symmetry_equiv_pos_as_xyz
'x,y,z'
'-x,-y,-z'
'-x,y,-z'
'x,-y,z'
loop_
_atom_site_label
_atom_site_fract_x
_atom_site_fract_y
_atom_site_fract_z
Ta1 0.000 0.000 0.000
Ta2 0.500 0.500 0.000
Cd1 0.000 0.500 0.500
Te1 0.500 0.000 0.500
```

Output
Volume ... 81.5 Å³ per cell
DOS(E_F) ... 2.60 states/eV/cell
Calculated total energy ... -6.51 eV per atom
Raw formation energy ... 0.427 eV per atom


No. 3
DFT (PBE) results for Ta2CdTe after structural relaxation.

```
data_Ta2CdTe
_chemical_formula_sum 'Ta4 Cd2 Te2'
_symmetry_space_group_name_H-M 'I m m m'
_symmetry_Int_Tables_number 71
_symmetry_space_group_name_Hall '-I 2 2'
_cell_length_a 3.450
_cell_length_b 4.969
_cell_length_c 9.402
_cell_angle_alpha 90.00
_cell_angle_beta 90.00
_cell_angle_gamma 90.00
loop_
_atom_site_label
_atom_site_fract_x
_atom_site_fract_y
_atom_site_fract_z
Ta1 0.000 0.000 0.242
Cd1 0.000 0.500 0.000
Te1 0.000 0.500 0.500
```

Output
Volume ... 161.2 Å³ per cell
DOS(E_F) ... 4.48 states/eV/cell
Calculated total energy ... -6.51 eV per atom
Raw formation energy ... 0.427 eV per atom